First-principles (PBE+U) data for an optimized crystal structure of NiCl2F, as listed in the Alexandria database.

a = 3.5420 Å, b = 3.5420 Å, c = 21.7741 Å
α = 90.00°, β = 90.00°, γ = 120.00°
With the nearest neighbours (Å) after each atom.
Fractional positions:
Ni1 0.0000 0.0000 0.0000  6 Cl 2.43
Ni2 0.3333 0.6667 0.6667  6 Cl 2.43
Ni3 0.6667 0.3333 0.3333  6 Cl 2.43
Cl1 0.0000 0.0000 0.3935  1 F 2.32, 3 Ni 2.43
Cl2 0.0000 0.0000 0.6065  1 F 2.32, 3 Ni 2.43
Cl3 0.3333 0.6667 0.0602  1 F 2.32, 3 Ni 2.43
Cl4 0.3333 0.6667 0.2732  1 F 2.32, 3 Ni 2.43
Cl5 0.6667 0.3333 0.7268  1 F 2.32, 3 Ni 2.43
Cl6 0.6667 0.3333 0.9398  1 F 2.32, 3 Ni 2.43
F1 0.0000 0.0000 0.5000  2 Cl 2.32
F2 0.3333 0.6667 0.1667  2 Cl 2.32
F3 0.6667 0.3333 0.8333  2 Cl 2.32

N(E_F)	0.00	states/eV/cell
symmetry	R-3m, No. 166
relative energy among the computed polymorphs	0	meV/atom
crystal system	trigonal
total energy	-2.570	eV/atom
magnetization	3.00	Bohr magnetons per cell